Compound: LaPrCu4Sn2
Source: OQMD via LeMat-Bulk
Functional: GGA-PBE
Structure: optimized geometry

Its crystal system is hexagonal. The calculation puts the uncorrected energy at -4.4573 eV/atom.

Cell lengths 4.5781, 4.5781, 9.0176 Å; angles 90.00, 90.00, 120.00 degrees
Closest atoms and distances in Å follow each position.
Space group P-6m2 (No. 187)
One atom of each set of equivalent atoms:
La: 0.0000 0.0000 0.0000 x1  8 Cu 2.99-3.13
Pr: 0.3333 0.6667 0.5000 x1  8 Cu 2.98-3.12
Cu: 0.0000 0.0000 0.3470 x2  1 Cu 2.76, 3 Sn 2.78, 3 Pr 2.98
Cu: 0.3333 0.6667 0.1544 x2  1 Cu 2.79, 3 Sn 2.79, 3 La 2.99, 1 Pr 3.12
Sn: 0.6667 0.3333 0.2522 x2  6 Cu 2.78-2.79

***

Compound: LaPr2Cu4Sn4
Source: OQMD via LeMat-Bulk
Functional: GGA-PBE
Structure: optimized geometry

Its crystal system is orthorhombic. The calculation puts the uncorrected energy at -4.6315 eV/atom.

Cell lengths 4.4028, 4.5453, 25.7706 Å; angles 90.00, 90.00, 90.00 degrees
Closest atoms and distances in Å follow each position.
Space group Immm (No. 71)
One atom of each set of equivalent atoms:
La: 0.0000 0.0000 0.0000 x2  4 Cu 3.34, 8 Sn 3.47
Pr: 0.0000 0.5000 0.1559 x4  8 Cu 3.25-3.51, 6 Sn 3.33-3.40
Cu: 0.0000 0.0000 0.2513 x4  4 Sn 2.62-2.65
Cu: 0.0000 0.5000 0.4027 x4  3 Sn 2.52-2.54
Sn: 0.0000 0.0000 0.4445 x4  2 Cu 2.52
Sn: 0.0000 0.5000 0.3041 x4  5 Cu 2.54-2.65

***

Compound: La2PrCu4Sn4
Source: OQMD via LeMat-Bulk
Functional: GGA-PBE
Structure: optimized geometry

Its crystal system is orthorhombic. The calculation puts the uncorrected energy at -4.6552 eV/atom.

Cell lengths 4.4092, 4.5242, 25.9312 Å; angles 90.00, 90.00, 90.00 degrees
Closest atoms and distances in Å follow each position.
Space group Immm (No. 71)
One atom of each set of equivalent atoms:
La: 0.0000 0.0000 0.1544 x4  8 Cu 3.30-3.49, 6 Sn 3.34-3.40
Pr: 0.0000 0.5000 0.0000 x2  4 Cu 3.35, 8 Sn 3.46
Cu: 0.0000 0.0000 0.4027 x4  3 Sn 2.52-2.56
Cu: 0.0000 0.5000 0.2507 x4  4 Sn 2.62-2.65
Sn: 0.0000 0.0000 0.3039 x4  5 Cu 2.56-2.65
Sn: 0.0000 0.5000 0.4456 x4  2 Cu 2.52

***

Compound: La2CuPt
Source: OQMD via LeMat-Bulk
Functional: GGA-PBE
Structure: optimized geometry

Its crystal system is orthorhombic. Its energy of formation is -702 meV/atom.

Cell lengths 4.5838, 5.8063, 7.5420 Å; angles 90.00, 90.00, 90.00 degrees
Closest atoms and distances in Å follow each position.
Space group Pmc2_1 (No. 26)
One atom of each set of equivalent atoms:
La: 0.0000 0.1109 0.0000 x2  3 Cu 3.08-3.14, 4 Pt 3.11-3.13
La: 0.5000 0.3817 0.3674 x2  3 Pt 3.08-3.11, 4 Cu 3.11-3.14
Cu: 0.0000 0.3838 0.6467 x2  2 Pt 2.82, 7 La 3.08-3.14
Pt: 0.5000 0.1191 0.7215 x2  2 Cu 2.82, 7 La 3.08-3.13

***

Compound: LaCuSn2Pt
Source: OQMD via LeMat-Bulk
Functional: GGA-PBE
Structure: optimized geometry

Its crystal system is monoclinic. The energy relative to the lowest polymorph listed for this composition comes out at 0 meV/atom.

Cell lengths 4.5812, 4.5237, 10.8449 Å; angles 90.00, 91.18, 90.00 degrees
Closest atoms and distances in Å follow each position.
Space group P2_1/m (No. 11)
One atom of each set of equivalent atoms:
La: 0.2352 0.2500 0.2405 x2  3 Cu 3.24-3.45, 6 Sn 3.40-3.60, 4 Pt 3.48-3.51
Cu: 0.1956 0.7500 0.0005 x2  4 Sn 2.62-2.66, 2 Cu 2.89
Sn: 0.2506 0.7500 0.4987 x2  4 Pt 2.70-2.71
Sn: 0.2930 0.2500 0.8786 x2  4 Cu 2.62-2.66, 1 Pt 2.66
Pt: 0.2547 0.2500 0.6339 x2  5 Sn 2.66-2.71

***

Compound: LaCuSn2Pt
Source: OQMD via LeMat-Bulk
Functional: GGA-PBE
Structure: optimized geometry

Its crystal system is tetragonal. The energy relative to the lowest polymorph listed for this composition comes out at 0 meV/atom.

Cell lengths 4.5329, 4.5329, 10.9692 Å; angles 90.00, 90.00, 90.00 degrees
Closest atoms and distances in Å follow each position.
Space group P4/nmm (No. 129, origin choice 2)
One atom of each set of equivalent atoms:
La: 0.2500 0.2500 0.2383 x2  8 Sn 3.45-3.66, 4 Cu 3.46, 4 Pt 3.49
Cu: 0.2500 0.7500 0.0000 x2  4 Sn 2.64
Sn: 0.2500 0.2500 0.8771 x2  4 Cu 2.64, 1 Pt 2.65
Sn: 0.2500 0.7500 0.5000 x2  4 Pt 2.71
Pt: 0.2500 0.2500 0.6355 x2  5 Sn 2.65-2.71